Entry 1:
Below is K2PbI4 after structural relaxation, with properties calculated at the PBE level.

Summary:
offset from the most stable computed form	37	meV per atom
uncorrected formation energy	-1.10	eV/atom
density	4.05	g cm⁻³
density of states at the Fermi level	0.00	states/eV/atom

```
data_K2PbI4
_space_group_name_H-M_alt 'C 1 2/m 1'
_space_group_IT_number 12
_cell_length_a 15.9116
_cell_length_b 4.8738
_cell_length_c 9.4214
_cell_angle_alpha 90.00
_cell_angle_beta 117.18
_cell_angle_gamma 90.00
loop_
_space_group_symop_operation_xyz
'x,y,z'
'-x,-y,-z'
'-x,y,-z'
'x,-y,z'
'x+1/2,y+1/2,z'
'-x+1/2,-y+1/2,-z'
'-x+1/2,y+1/2,-z'
'x+1/2,-y+1/2,z'
loop_
_atom_site_label
_atom_site_type_symbol
_atom_site_fract_x
_atom_site_fract_y
_atom_site_fract_z
_atom_site_occupancy
K1 K 0.1924 0.0000 0.1757 1
Pb1 Pb 0.0000 0.5000 0.5000 1
I1 I 0.0962 0.5000 0.8825 1
I2 I 0.1454 0.0000 0.5197 1
```

***

Entry 2:
Below is K3PbI6 after structural relaxation, with properties calculated at the PBE level.

Summary:
offset from the most stable computed form	40	meV per atom
uncorrected formation energy	-1.01	eV/atom
density	3.83	g cm⁻³
density of states at the Fermi level	0.68	states/eV/atom

```
data_K3PbI6
_space_group_name_H-M_alt 'P 1 21/c 1'
_space_group_IT_number 14
_cell_length_a 8.6615
_cell_length_b 9.2545
_cell_length_c 13.8553
_cell_angle_alpha 90.00
_cell_angle_beta 121.94
_cell_angle_gamma 90.00
loop_
_space_group_symop_operation_xyz
'x,y,z'
'-x,-y,-z'
'-x,y+1/2,-z+1/2'
'x,-y+1/2,z+1/2'
loop_
_atom_site_label
_atom_site_type_symbol
_atom_site_fract_x
_atom_site_fract_y
_atom_site_fract_z
_atom_site_occupancy
K1 K 0.0000 0.0000 0.0000 1
K2 K 0.1976 0.0750 0.7280 1
Pb1 Pb 0.5000 0.0000 0.5000 1
I1 I 0.1585 0.1856 0.4501 1
I2 I 0.2312 0.7297 0.4014 1
I3 I 0.4117 0.0845 0.2567 1
```

***

Entry 3:
Below is KPbI after structural relaxation, with properties calculated at the PBE level.

Summary:
uncorrected formation energy	-0.75	eV/atom
density	4.42	g cm⁻³
density of states at the Fermi level	0.11	states/eV/atom

```
data_KPbI
_space_group_name_H-M_alt 'P 1'
_space_group_IT_number 1
_cell_length_a 4.9989
_cell_length_b 4.9996
_cell_length_c 13.2618
_cell_angle_alpha 79.22
_cell_angle_beta 79.18
_cell_angle_gamma 60.02
loop_
_space_group_symop_operation_xyz
'x,y,z'
loop_
_atom_site_label
_atom_site_type_symbol
_atom_site_fract_x
_atom_site_fract_y
_atom_site_fract_z
_atom_site_occupancy
K1 K 0.0000 0.0000 0.0000 1
K2 K 0.4420 0.4393 0.6739 1
Pb1 Pb 0.2364 0.2389 0.2872 1
Pb2 Pb 0.5964 0.5987 0.2074 1
I1 I 0.1562 0.1529 0.5310 1
I2 I 0.7176 0.7164 0.8476 1
```

***

Q: Look up the density of states at the Fermi level of the third one.
A: 0.11 states/eV/atom